[1]
# RbCd10Ga2 | Alexandria | PBE | optimized geometry
data_RbCd10Ga2
_symmetry_space_group_name_H-M 'C m c m'
_symmetry_Int_Tables_number 63
_symmetry_space_group_name_Hall '-C 2c 2'
_cell_length_a 10.1889
_cell_length_b 11.8357
_cell_length_c 10.4148
_cell_angle_alpha 90.00
_cell_angle_beta 90.00
_cell_angle_gamma 90.00
loop_
_atom_site_label
_atom_site_fract_x
_atom_site_fract_y
_atom_site_fract_z
_atom_site_occupancy
Rb1 0.0000 0.1233 0.2500 1
Cd1 0.0000 0.1626 0.6039 1
Cd2 0.0000 0.3864 0.0603 1
Cd3 0.1449 0.3792 0.7500 1
Cd4 0.2193 0.0000 0.0000 1
Cd5 0.2295 0.3706 0.2500 1
Ga1 0.2500 0.2500 0.0000 1
# Magnetization ... 0.00 μB/cell
# Energy relative to the elements ... -0.1 eV/f.u.

[2]
# RbCdGa2 | Alexandria | PBE | optimized geometry
data_RbCdGa2
_symmetry_space_group_name_H-M 'I -4 2 d'
_symmetry_Int_Tables_number 122
_symmetry_space_group_name_Hall 'I -4 2bw'
_cell_length_a 5.2709
_cell_length_b 5.2709
_cell_length_c 19.9298
_cell_angle_alpha 90.00
_cell_angle_beta 90.00
_cell_angle_gamma 90.00
loop_
_atom_site_label
_atom_site_fract_x
_atom_site_fract_y
_atom_site_fract_z
_atom_site_occupancy
Rb1 0.0000 0.0000 0.0000 1
Cd1 0.0000 0.0000 0.5000 1
Ga1 0.0118 0.7500 0.6250 1
# Magnetization ... 0.00 μB/cell
# Energy relative to the elements ... 0.4 eV/f.u.

[3]
# RbCd2GaRe | Alexandria | PBE | optimized geometry
data_RbCd2GaRe
_symmetry_space_group_name_H-M 'P 4/m m m'
_symmetry_Int_Tables_number 123
_symmetry_space_group_name_Hall '-P 4 2'
_cell_length_a 5.3996
_cell_length_b 5.3996
_cell_length_c 4.9191
_cell_angle_alpha 90.00
_cell_angle_beta 90.00
_cell_angle_gamma 90.00
loop_
_atom_site_label
_atom_site_fract_x
_atom_site_fract_y
_atom_site_fract_z
_atom_site_occupancy
Rb1 0.0000 0.0000 0.0000 1
Cd1 0.0000 0.5000 0.5000 1
Ga1 0.5000 0.5000 0.0000 1
Re1 0.5000 0.5000 0.5000 1
# Magnetization ... 0.00 μB/cell
# Energy relative to the elements ... 2.0 eV/f.u.

[4]
# RbCd2GaRh | Alexandria | PBE | optimized geometry
data_RbCd2GaRh
_symmetry_space_group_name_H-M 'P 4/m m m'
_symmetry_Int_Tables_number 123
_symmetry_space_group_name_Hall '-P 4 2'
_cell_length_a 5.3514
_cell_length_b 5.3514
_cell_length_c 4.8251
_cell_angle_alpha 90.00
_cell_angle_beta 90.00
_cell_angle_gamma 90.00
loop_
_atom_site_label
_atom_site_fract_x
_atom_site_fract_y
_atom_site_fract_z
_atom_site_occupancy
Rb1 0.0000 0.0000 0.0000 1
Cd1 0.0000 0.5000 0.5000 1
Ga1 0.5000 0.5000 0.0000 1
Rh1 0.5000 0.5000 0.5000 1
# Magnetization ... 0.00 μB/cell
# Energy relative to the elements ... -1.1 eV/f.u.

[5]
# RbCdGa2Ru | Alexandria | PBE | optimized geometry
data_RbCdGa2Ru
_symmetry_space_group_name_H-M 'P 4/m m m'
_symmetry_Int_Tables_number 123
_symmetry_space_group_name_Hall '-P 4 2'
_cell_length_a 4.8873
_cell_length_b 4.8873
_cell_length_c 5.3768
_cell_angle_alpha 90.00
_cell_angle_beta 90.00
_cell_angle_gamma 90.00
loop_
_atom_site_label
_atom_site_fract_x
_atom_site_fract_y
_atom_site_fract_z
_atom_site_occupancy
Rb1 0.0000 0.0000 0.0000 1
Cd1 0.5000 0.5000 0.0000 1
Ga1 0.0000 0.5000 0.5000 1
Ru1 0.5000 0.5000 0.5000 1
# Magnetization ... 0.00 μB/cell
# Energy relative to the elements ... -0.7 eV/f.u.

[6]
# RbCdGaSb2 | Alexandria | PBE | optimized geometry
data_RbCdGaSb2
_symmetry_space_group_name_H-M 'I -4 m 2'
_symmetry_Int_Tables_number 119
_symmetry_space_group_name_Hall 'I -4 -2'
_cell_length_a 4.5805
_cell_length_b 4.5805
_cell_length_c 15.8746
_cell_angle_alpha 90.00
_cell_angle_beta 90.00
_cell_angle_gamma 90.00
loop_
_atom_site_label
_atom_site_fract_x
_atom_site_fract_y
_atom_site_fract_z
_atom_site_occupancy
Rb1 0.0000 0.0000 0.0000 1
Cd1 0.0000 0.5000 0.2500 1
Ga1 0.0000 0.5000 0.7500 1
Sb1 0.0000 0.0000 0.3609 1
# Formation energy (no corrections) ... -0.24 eV per atom
# Magnetization ... 0.00 μB/cell

[7]
# RbCdGaSb | Alexandria | PBE | optimized geometry
data_RbCdGaSb
_symmetry_space_group_name_H-M 'P 4/n m m'
_symmetry_Int_Tables_number 129
_cell_length_a 4.8164
_cell_length_b 4.8164
_cell_length_c 12.4704
_cell_angle_alpha 90.00
_cell_angle_beta 90.00
_cell_angle_gamma 90.00
loop_
_symmetry_equiv_pos_as_xyz
'x,y,z'
'-x,-y,-z'
'-y+1/2,x,z'
'y+1/2,-x,-z'
'-x+1/2,-y+1/2,z'
'x+1/2,y+1/2,-z'
'y,-x+1/2,z'
'-y,x+1/2,-z'
'x+1/2,-y,-z'
'-x+1/2,y,z'
'-y,-x,-z'
'y,x,z'
'-x,y+1/2,-z'
'x,-y+1/2,z'
'y+1/2,x+1/2,-z'
'-y+1/2,-x+1/2,z'
loop_
_atom_site_label
_atom_site_fract_x
_atom_site_fract_y
_atom_site_fract_z
_atom_site_occupancy
Rb1 0.2500 0.2500 0.2491 1
Cd1 0.2500 0.7500 0.0000 1
Ga1 0.2500 0.7500 0.5000 1
Sb1 0.2500 0.2500 0.6199 1
# Formation energy (no corrections) ... -0.16 eV per atom
# Magnetization ... 0.00 μB/cell

[8]
# RbCdGa2Sb | Alexandria | PBE | optimized geometry
data_RbCdGa2Sb
_symmetry_space_group_name_H-M 'I m m 2'
_symmetry_Int_Tables_number 44
_cell_length_a 4.8912
_cell_length_b 5.0538
_cell_length_c 11.4499
_cell_angle_alpha 90.00
_cell_angle_beta 90.00
_cell_angle_gamma 90.00
loop_
_symmetry_equiv_pos_as_xyz
'x,y,z'
'-x,-y,z'
'-x,y,z'
'x,-y,z'
'x+1/2,y+1/2,z+1/2'
'-x+1/2,-y+1/2,z+1/2'
'-x+1/2,y+1/2,z+1/2'
'x+1/2,-y+1/2,z+1/2'
loop_
_atom_site_label
_atom_site_fract_x
_atom_site_fract_y
_atom_site_fract_z
_atom_site_occupancy
Rb1 0.0000 0.0000 0.0000 1
Cd1 0.0000 0.5000 0.7590 1
Ga1 0.0000 0.0000 0.3673 1
Ga2 0.0000 0.5000 0.2625 1
Sb1 0.0000 0.0000 0.6113 1
# Formation energy (no corrections) ... -0.18 eV per atom
# Magnetization ... 0.00 μB/cell

[9]
# Rb2Cd4GaSn3 | Alexandria | PBE | optimized geometry
data_Rb2Cd4GaSn3
_symmetry_space_group_name_H-M 'P -4 m 2'
_symmetry_Int_Tables_number 115
_cell_length_a 4.9350
_cell_length_b 4.9350
_cell_length_c 12.4059
_cell_angle_alpha 90.00
_cell_angle_beta 90.00
_cell_angle_gamma 90.00
loop_
_symmetry_equiv_pos_as_xyz
'x,y,z'
'y,-x,-z'
'-x,-y,z'
'-y,x,-z'
'-x,y,z'
'-y,-x,-z'
'x,-y,z'
'y,x,-z'
loop_
_atom_site_label
_atom_site_fract_x
_atom_site_fract_y
_atom_site_fract_z
_atom_site_occupancy
Rb1 0.0000 0.5000 0.2492 1
Cd1 0.0000 0.0000 0.5000 1
Cd2 0.0000 0.5000 0.8693 1
Cd3 0.5000 0.5000 0.5000 1
Ga1 0.5000 0.5000 0.0000 1
Sn1 0.0000 0.0000 0.0000 1
Sn2 0.0000 0.5000 0.6343 1
# Magnetization ... 0.00 μB/cell
# Energy relative to the elements ... -1.1 eV/f.u.

[10]
# Rb2Cd3GaSn4 | Alexandria | PBE | optimized geometry
data_Rb2Cd3GaSn4
_symmetry_space_group_name_H-M 'P -4 m 2'
_symmetry_Int_Tables_number 115
_cell_length_a 4.8982
_cell_length_b 4.8982
_cell_length_c 12.6464
_cell_angle_alpha 90.00
_cell_angle_beta 90.00
_cell_angle_gamma 90.00
loop_
_symmetry_equiv_pos_as_xyz
'x,y,z'
'y,-x,-z'
'-x,-y,z'
'-y,x,-z'
'-x,y,z'
'-y,-x,-z'
'x,-y,z'
'y,x,-z'
loop_
_atom_site_label
_atom_site_fract_x
_atom_site_fract_y
_atom_site_fract_z
_atom_site_occupancy
Rb1 0.0000 0.5000 0.2430 1
Cd1 0.0000 0.0000 0.0000 1
Cd2 0.0000 0.5000 0.6435 1
Ga1 0.5000 0.5000 0.0000 1
Sn1 0.0000 0.0000 0.5000 1
Sn2 0.0000 0.5000 0.8725 1
Sn3 0.5000 0.5000 0.5000 1
# Magnetization ... 0.00 μB/cell
# Energy relative to the elements ... -1.4 eV/f.u.

[11]
# RbTi2CdGa | Alexandria | PBE | optimized geometry
data_RbTi2CdGa
_symmetry_space_group_name_H-M 'P 4/m m m'
_symmetry_Int_Tables_number 123
_symmetry_space_group_name_Hall '-P 4 2'
_cell_length_a 5.1798
_cell_length_b 5.1798
_cell_length_c 5.3727
_cell_angle_alpha 90.00
_cell_angle_beta 90.00
_cell_angle_gamma 90.00
loop_
_atom_site_label
_atom_site_fract_x
_atom_site_fract_y
_atom_site_fract_z
_atom_site_occupancy
Rb1 0.0000 0.0000 0.0000 1
Ti1 0.0000 0.5000 0.5000 1
Cd1 0.5000 0.5000 0.0000 1
Ga1 0.5000 0.5000 0.5000 1
# Magnetization ... 4.93 μB/cell
# Energy relative to the elements ... 3.8 eV/f.u.

[12]
# Rb2TiCdGa | Alexandria | PBE | optimized geometry
data_Rb2TiCdGa
_symmetry_space_group_name_H-M 'P 4/m m m'
_symmetry_Int_Tables_number 123
_symmetry_space_group_name_Hall '-P 4 2'
_cell_length_a 6.8566
_cell_length_b 6.8566
_cell_length_c 5.1373
_cell_angle_alpha 90.00
_cell_angle_beta 90.00
_cell_angle_gamma 90.00
loop_
_atom_site_label
_atom_site_fract_x
_atom_site_fract_y
_atom_site_fract_z
_atom_site_occupancy
Rb1 0.0000 0.5000 0.0000 1
Ti1 0.0000 0.0000 0.5000 1
Cd1 0.5000 0.5000 0.5000 1
Ga1 0.0000 0.0000 0.0000 1
# Magnetization ... 2.24 μB/cell
# Energy relative to the elements ... 3.2 eV/f.u.